# GGA-PBE LiNdYEr, relaxed
data_LiNdYEr
_cell_length_a 7.819
_cell_length_b 7.819
_cell_length_c 7.819
_cell_angle_alpha 90.00
_cell_angle_beta 90.00
_cell_angle_gamma 90.00
_symmetry_space_group_name_H-M 'F -4 3 m'
_symmetry_Int_Tables_number 216
_symmetry_space_group_name_Hall 'F -4 2 3'
loop_
_atom_site_label
_atom_site_fract_x
_atom_site_fract_y
_atom_site_fract_z
Li1 0.000 0.000 0.000
Nd1 0.250 0.250 0.750
Y1 0.250 0.250 0.250
Er1 0.000 0.000 0.500
# Energy ... -4.266 eV/atom
# ΔE_f ... 0.16 eV per atom
# DOS at the Fermi energy ... 0.945 states/eV per atom